First-principles (PBE-GGA) data for crystalline MgAgAu2 at its relaxed geometry, as listed in Alexandria via LeMat-Bulk.

Cell: 7.497 7.497 5.990 Å, 51.26 51.26 90.00°
Atoms (fractional coordinates):
Mg1 0.500 0.500 0.000
Mg2 0.250 0.750 0.500
Au1 0.617 0.125 0.250
Au2 0.133 0.625 0.250
Au3 0.375 0.383 0.750
Au4 0.875 0.867 0.750
Ag1 0.000 0.000 0.000
Ag2 0.750 0.250 0.500

Density = 11.15 g cm⁻³
Calculated formation energy = -0.14 eV per atom
Total magnetic moment = 0.00 μB/cell
Crystal system = tetragonal
Space-group type = I-42d (122)
Total DFT energy (no corrections) = -2.886 eV per atom


First-principles (PBE-GGA) data for crystalline CeCdHg at its relaxed geometry, as listed in Alexandria via LeMat-Bulk.

Cell: 4.585 4.518 7.439 Å, 107.68 90.03 90.00°
Last column: magnetic moment on the atom in μB.
Atoms (fractional coordinates):
Ce1 0.250 0.937 0.874  0.79
Ce2 0.750 0.063 0.126  0.79
Cd1 0.250 0.252 0.504  -0.01
Cd2 0.750 0.748 0.496  -0.01
Hg1 0.250 0.607 0.214  0.00
Hg2 0.750 0.393 0.786  0.00

Density = 10.25 g cm⁻³
Calculated formation energy = -0.24 eV per atom
Total magnetic moment = 1.72 μB/cell
Crystal system = orthorhombic
Space-group type = Cmcm (63)
Total DFT energy (no corrections) = -2.628 eV per atom


First-principles (PBE-GGA) data for crystalline ScCoMo2 at its relaxed geometry, as listed in Alexandria via LeMat-Bulk.

Cell: 4.405 4.405 4.405 Å, 60.00 60.00 60.00°
Atoms (fractional coordinates):
Sc1 0.000 0.000 0.000
Mo1 0.250 0.250 0.250
Mo2 0.750 0.750 0.750
Co1 0.500 0.500 0.500

Density = 8.13 g cm⁻³
Calculated formation energy = 0.39 eV per atom
Offset from the most stable computed form = 369 meV/atom
Total magnetic moment = 0.00 μB/cell
Crystal system = cubic
Space-group type = Fm-3m (225)
Total DFT energy (no corrections) = -8.389 eV per atom


First-principles (PBE-GGA) data for crystalline YCrRh2 at its relaxed geometry, as listed in Alexandria via LeMat-Bulk.

Cell: 4.597 4.597 4.597 Å, 60.00 60.00 60.00°
Last column: magnetic moment on the atom in μB.
Atoms (fractional coordinates):
Y1 0.500 0.500 0.500  -0.05
Cr1 0.000 0.000 0.000  3.12
Rh1 0.250 0.250 0.250  0.19
Rh2 0.750 0.750 0.750  0.19

Density = 8.38 g cm⁻³
Calculated formation energy = -0.29 eV per atom
Offset from the most stable computed form = 34 meV/atom
Total magnetic moment = 3.64 μB/cell
Crystal system = cubic
Space-group type = Fm-3m (225)
Total DFT energy (no corrections) = -7.985 eV per atom


First-principles (PBE-GGA) data for crystalline TmCdSn at its relaxed geometry, as listed in Alexandria via LeMat-Bulk.

Cell: 3.176 3.176 8.925 Å, 100.25 100.25 90.00°
Atoms (fractional coordinates):
Tm1 0.950 0.950 0.899
Sn1 0.771 0.771 0.542
Cd1 0.129 0.129 0.259

Density = 7.62 g cm⁻³
Calculated formation energy = 0.27 eV per atom
Total magnetic moment = 0.00 μB/cell
Crystal system = tetragonal
Space-group type = I4mm (107)
Total DFT energy (no corrections) = -2.855 eV per atom


First-principles (PBE-GGA) data for crystalline PmDy4Pb5 at its relaxed geometry, as listed in Alexandria via LeMat-Bulk.

Cell: 4.073 4.073 17.297 Å, 90.00 90.00 90.00°
Last column: magnetic moment on the atom in μB.
Atoms (fractional coordinates):
Pm1 0.000 0.000 0.000  0.08
Dy1 0.000 0.000 0.201  0.09
Dy2 0.000 0.000 0.401  0.10
Dy3 0.000 0.000 0.599  0.10
Dy4 0.000 0.000 0.799  0.09
Pb1 0.500 0.500 0.104  0.00
Pb2 0.500 0.500 0.301  0.00
Pb3 0.500 0.500 0.500  0.00
Pb4 0.500 0.500 0.699  0.00
Pb5 0.500 0.500 0.896  0.00

Density = 10.59 g cm⁻³
Calculated formation energy = -0.42 eV per atom
Offset from the most stable computed form = 0 meV/atom
Total magnetic moment = 0.66 μB/cell
Crystal system = tetragonal
Space-group type = P4/mmm (123)
Total DFT energy (no corrections) = -4.587 eV per atom


First-principles (PBE-GGA) data for crystalline HfZr3Ni at its relaxed geometry, as listed in Alexandria via LeMat-Bulk.

Cell: 4.872 4.872 4.872 Å, 90.00 90.00 90.00°
Atoms (fractional coordinates):
Ni1 0.000 0.000 0.000
Hf1 0.500 0.500 0.500
Zr1 0.000 0.500 0.000
Zr2 0.000 0.000 0.500
Zr3 0.500 0.000 0.000

Density = 7.33 g cm⁻³
Calculated formation energy = 0.29 eV per atom
Offset from the most stable computed form = 379 meV/atom
Total magnetic moment = 0.00 μB/cell
Crystal system = cubic
Space-group type = Pm-3m (221)
Total DFT energy (no corrections) = -7.984 eV per atom


First-principles (PBE-GGA) data for crystalline Sm3Dy5As8 at its relaxed geometry, as listed in Alexandria via LeMat-Bulk.

Cell: 8.309 8.309 8.309 Å, 60.00 60.00 60.00°
Atoms (fractional coordinates):
Sm1 0.500 0.000 0.500
Sm2 0.000 0.000 0.500
Sm3 0.000 0.500 0.500
Dy1 0.500 0.000 0.000
Dy2 0.500 0.500 0.000
Dy3 0.000 0.000 0.000
Dy4 0.000 0.500 0.000
Dy5 0.500 0.500 0.500
As1 0.250 0.250 0.754
As2 0.250 0.746 0.754
As3 0.746 0.250 0.754
As4 0.748 0.748 0.756
As5 0.750 0.750 0.246
As6 0.750 0.254 0.246
As7 0.254 0.750 0.246
As8 0.252 0.252 0.244

Density = 7.63 g cm⁻³
Calculated formation energy = -1.53 eV per atom
Total magnetic moment = 0.00 μB/cell
Crystal system = trigonal
Space-group type = R-3m (166)
Total DFT energy (no corrections) = -6.178 eV per atom